PBE BSbTeF2, relaxed; uncorrected formation energy = -129.9 kJ/mol of formula units; crystal system = tetragonal
1.0
4.121 0.000 0.000
0.000 4.121 0.000
0.000 0.000 4.845
B Sb Te F
1 1 1 2
Direct
0.000 0.000 0.000
0.000 0.000 0.500
0.500 0.500 0.500
0.000 0.500 0.000
0.500 0.000 0.000